(1)
YMnRe2 | PBE | relaxed

Cell lengths 4.789, 4.789, 8.745 Å; angles 74.11, 74.11, 90.00 degrees
Element x y z (fractional)
Y 0.750 0.250 0.500
Y 0.000 0.000 0.000
Re 0.375 0.125 0.250
Re 0.375 0.625 0.750
Re 0.375 0.625 0.250
Re 0.875 0.625 0.750
Mn 0.500 0.500 0.000
Mn 0.250 0.750 0.500

- Volume: 184.9 Å³/cell
- Energy of formation from the pure elements: 85.1 kJ/mol of atoms
- Magnetization: 2.28 Bohr magnetons per cell
- Electronic total energy: -9.250 eV/atom
- Energy above the lowest structure with this stoichiometry: 0.692 eV per atom


(2)
Nd6Dy12Tm | PBE | relaxed

Cell lengths 8.700, 8.700, 8.700 Å; angles 79.39, 79.39, 79.39 degrees
Element x y z (fractional)
Dy 0.863 0.512 0.863
Dy 0.488 0.137 0.137
Dy 0.137 0.137 0.488
Dy 0.486 0.487 0.804
Dy 0.512 0.863 0.863
Dy 0.513 0.196 0.514
Dy 0.514 0.513 0.196
Dy 0.804 0.486 0.487
Dy 0.196 0.514 0.513
Dy 0.863 0.863 0.512
Dy 0.137 0.488 0.137
Dy 0.487 0.804 0.486
Nd 0.767 0.767 0.162
Nd 0.767 0.162 0.767
Nd 0.162 0.767 0.767
Nd 0.233 0.233 0.838
Nd 0.233 0.838 0.233
Nd 0.838 0.233 0.233
Tm 0.000 0.000 0.000

- Volume: 628.6 Å³/cell
- Energy of formation from the pure elements: 12.1 kJ/mol of atoms
- Magnetization: 0.00 Bohr magnetons per cell
- Electronic total energy: -4.522 eV/atom
- Energy above the lowest structure with this stoichiometry: 0.000 eV per atom


(3)
AcNdSnAu | PBE | relaxed

Cell lengths 5.545, 5.545, 5.545 Å; angles 60.00, 60.00, 60.00 degrees
Element x y z (fractional)
Sn 0.250 0.250 0.250
Ac 0.000 0.000 0.000
Nd 0.500 0.500 0.500
Au 0.750 0.750 0.750

- Volume: 120.6 Å³/cell
- Energy of formation from the pure elements: -65.1 kJ/mol of atoms
- Magnetization: 0.88 Bohr magnetons per cell
- Electronic total energy: -4.713 eV/atom


(4)
LiCaNdIn | PBE | relaxed

Cell lengths 5.441, 5.441, 5.441 Å; angles 60.00, 60.00, 60.00 degrees
Element x y z (fractional)
Li 0.000 0.000 0.000
In 0.500 0.500 0.500
Ca 0.250 0.250 0.250
Nd 0.750 0.750 0.750

- Volume: 113.9 Å³/cell
- Energy of formation from the pure elements: -28.1 kJ/mol of atoms
- Magnetization: 0.00 Bohr magnetons per cell
- Electronic total energy: -3.147 eV/atom